Computed, not measured: a relaxed KNiSbF6 crystal at the GGA+U level of DFT.

Symmetry = P1
V = 16.05 Å³ per atom
VASP energy = -4.511 eV per atom

Lattice parameters (Å, degrees): 5.058 5.737 5.743 119.93 90.00 90.06
Element x y z (fractional)
K 0.000 0.000 0.000
Ni 0.571 0.334 0.667
Sb 0.501 0.667 0.334
F 0.372 0.287 0.347
F 0.373 0.059 0.714
F 0.373 0.653 0.940
F 0.775 0.433 0.025
F 0.775 0.592 0.567
F 0.775 0.977 0.409